Entry 1:
AlAuS2N | PBEsol | optimized geometry

Results
The final energy comes out at -22.9 eV per cell. As for the density of states at the Fermi level: 0.71 states/eV/atom. As for the raw formation energy: 483 meV per atom.

Unit cell a=4.6973 b=4.6973 c=3.6052 alpha=90.00 beta=90.00 gamma=90.00
Space group P4/mmm (No. 123)
Symmetry-distinct sites (fractional):
1 Al 0.0000 0.0000 0.0000 (multiplicity 1)
2 Au 0.5000 0.5000 0.5000 (multiplicity 1)
3 S 0.0000 0.5000 0.0000 (multiplicity 2)
4 N 0.0000 0.0000 0.5000 (multiplicity 1)



Entry 2:
NaAlAu3 | PBEsol | optimized geometry

Results
The final energy comes out at -12.4 eV per cell. As for the density of states at the Fermi level: 0.50 states/eV/atom.

Unit cell a=4.8252 b=4.8252 c=4.8252 alpha=90.00 beta=90.00 gamma=90.00
Space group Pm-3m (No. 221)
Symmetry-distinct sites (fractional):
1 Na 0.0000 0.0000 0.0000 (multiplicity 1)
2 Al 0.5000 0.5000 0.5000 (multiplicity 1)
3 Au 0.0000 0.0000 0.5000 (multiplicity 3)



Entry 3:
Na2AlAu2 | PBEsol | optimized geometry

Results
The final energy comes out at -31.8 eV per cell. As for the density of states at the Fermi level: 0.33 states/eV/atom.

Unit cell a=6.6590 b=6.6590 c=4.7609 alpha=90.00 beta=90.00 gamma=90.00
Space group P4/mbm (No. 127)
Symmetry-distinct sites (fractional):
1 Na 0.1662 0.3338 0.0000 (multiplicity 4)
2 Al 0.0000 0.0000 0.5000 (multiplicity 2)
3 Au 0.1466 0.6466 0.5000 (multiplicity 4)



Entry 4:
NaAlAu3 | PBEsol | optimized geometry

Results
The final energy comes out at -17.2 eV per cell. As for the density of states at the Fermi level: 0.21 states/eV/atom.

Unit cell a=4.8488 b=4.8488 c=4.8488 alpha=90.00 beta=90.00 gamma=90.00
Space group Pm-3m (No. 221)
Symmetry-distinct sites (fractional):
1 Na 0.0000 0.0000 0.0000 (multiplicity 1)
2 Al 0.5000 0.5000 0.5000 (multiplicity 1)
3 Au 0.0000 0.5000 0.5000 (multiplicity 3)



Entry 5:
Nb3AlAu | PBEsol | optimized geometry

Results
The final energy comes out at -34.7 eV per cell. As for the density of states at the Fermi level: 1.03 states/eV/atom.

Unit cell a=4.6252 b=4.6252 c=4.6252 alpha=90.00 beta=90.00 gamma=90.00
Space group Pm-3m (No. 221)
Symmetry-distinct sites (fractional):
1 Nb 0.0000 0.0000 0.5000 (multiplicity 3)
2 Al 0.0000 0.0000 0.0000 (multiplicity 1)
3 Au 0.5000 0.5000 0.5000 (multiplicity 1)



Entry 6:
NbAlSi2Au | PBEsol | optimized geometry

Results
The final energy comes out at -24.7 eV per cell. As for the density of states at the Fermi level: 0.84 states/eV/atom. As for the raw formation energy: 1117 meV per atom.

Unit cell a=4.5280 b=4.5280 c=5.3232 alpha=90.00 beta=90.00 gamma=90.00
Space group P4/mmm (No. 123)
Symmetry-distinct sites (fractional):
1 Nb 0.0000 0.0000 0.0000 (multiplicity 1)
2 Al 0.5000 0.5000 0.0000 (multiplicity 1)
3 Si 0.0000 0.5000 0.5000 (multiplicity 2)
4 Au 0.0000 0.0000 0.5000 (multiplicity 1)



Entry 7:
NdAl7Au3 | PBEsol | optimized geometry

Results
The final energy comes out at -310.3 eV per cell. As for the density of states at the Fermi level: 0.20 states/eV/atom.

Unit cell a=8.0580 b=8.0580 c=21.0372 alpha=90.00 beta=90.00 gamma=120.00
Space group R-3c (No. 167, hexagonal axes)
Symmetry-distinct sites (fractional):
1 Nd 0.0000 0.0000 0.0000 (multiplicity 6)
2 Al 0.0000 0.0000 0.2500 (multiplicity 6)
3 Al 0.0106 0.2070 0.1366 (multiplicity 36)
4 Au 0.0000 0.3217 0.2500 (multiplicity 18)



Entry 8:
NdAlAu | PBEsol | optimized geometry

Results
The final energy comes out at -61.9 eV per cell. As for the density of states at the Fermi level: 0.80 states/eV/atom.

Unit cell a=7.4365 b=4.5257 c=7.6670 alpha=90.00 beta=90.00 gamma=90.00
Space group Pnma (No. 62)
Symmetry-distinct sites (fractional):
1 Nd 0.0117 0.2500 0.1897 (multiplicity 4)
2 Al 0.1702 0.2500 0.5811 (multiplicity 4)
3 Au 0.1992 0.7500 0.4059 (multiplicity 4)



Which formula does entry 2 have? NaAlAu3



What is the formula in the fourth record? NaAlAu3



Which value of final energy does entry 2 give? -12.4 eV per cell



Which value of final energy does entry 5 give? -34.7 eV per cell